# VO2 (PBE+U, optimized geometry)
data_VO2
_symmetry_space_group_name_H-M 'P m m n'
_symmetry_Int_Tables_number 59
_cell_length_a 5.885
_cell_length_b 10.829
_cell_length_c 5.220
_cell_angle_alpha 90.00
_cell_angle_beta 90.00
_cell_angle_gamma 90.00
loop_
_symmetry_equiv_pos_as_xyz
'x,y,z'
'-x,-y,-z'
'-x+1/2,-y+1/2,z'
'x+1/2,y+1/2,-z'
'x+1/2,-y,-z'
'-x+1/2,y,z'
'-x,y+1/2,-z'
'x,-y+1/2,z'
loop_
_atom_site_label
_atom_site_fract_x
_atom_site_fract_y
_atom_site_fract_z
V1 0.000 0.000 0.000
V2 0.250 0.016 0.494
O1 0.006 0.588 0.661
O2 0.250 0.094 0.830
O3 0.250 0.586 0.152
# **Volume**: 13.86 A^3/atom
# **Total energy**: -7.630 eV per atom
# **Total moment**: 1.00 μB per formula unit
# **Crystal system**: orthorhombic